# 1
{"formula": "Li2ZnCdP2", "functional": "GGA-PBE", "state": "relaxed", "magnetic_moment_mub_per_fu": 0.00, "space_group": "R3m (160)", "polymorph_energy_ev_per_atom": 0.000, "formation_enthalpy_0k_mev_per_atom": -487, "lattice": [[-0.843, 2.212, -6.901], [-0.134, -1.928, -7.035], [-3.968, -0.482, -6.104]], "species": ["Li", "Li", "Zn", "Cd", "P", "P"], "fractional_positions": [[0.127, 0.127, 0.127], [0.624, 0.624, 0.624], [0.875, 0.875, 0.875], [0.375, 0.375, 0.375], [0.995, 0.995, 0.995], [0.504, 0.504, 0.504]]}

# 2
{"formula": "Pr6YEr2Tm3", "functional": "GGA-PBE", "state": "relaxed", "magnetic_moment_mub_per_fu": 0.00, "n_ef_per_ev_fu": 12.2, "space_group": "C2/m (12)", "formation_enthalpy_0k_mev_per_atom": 14, "lattice": [[-5.187, 0.931, 3.416], [0.967, -5.542, -2.792], [6.962, -2.270, 9.267]], "species": ["Pr", "Pr", "Pr", "Pr", "Pr", "Pr", "Y", "Er", "Er", "Tm", "Tm", "Tm"], "fractional_positions": [[0.916, 0.582, 0.749], [0.750, 0.750, 0.251], [0.084, 0.418, 0.251], [0.582, 0.916, 0.749], [0.250, 0.250, 0.749], [0.418, 0.084, 0.251], [0.000, 0.000, 0.000], [0.333, 0.667, 0.000], [0.667, 0.333, 0.000], [0.167, 0.833, 0.500], [0.833, 0.167, 0.500], [0.500, 0.500, 0.500]]}

# 3
{"formula": "Nd2Dy3In2", "functional": "GGA-PBE", "state": "relaxed", "magnetic_moment_mub_per_fu": 0.00, "n_ef_per_ev_fu": 6.1, "space_group": "C2/m (12)", "formation_enthalpy_0k_mev_per_atom": -268, "lattice": [[-3.705, 2.616, 3.048], [-1.512, -4.223, -3.112], [3.739, -3.140, 7.239]], "species": ["Nd", "Nd", "Dy", "Dy", "Dy", "In", "In"], "fractional_positions": [[0.922, 0.844, 0.267], [0.078, 0.156, 0.733], [0.500, 0.000, 0.000], [0.653, 0.305, 0.458], [0.347, 0.695, 0.542], [0.783, 0.565, 0.847], [0.217, 0.435, 0.153]]}